Entry 1:
Here is crystalline RbSmAsSe3 at its relaxed geometry from OQMD. Energies are from PBE-GGA.

a b c (Å): 7.7648 7.7648 11.8603
angles (deg): 90.00 90.00 146.79
With the nearest neighbours (Å) after each atom.
Sites, in units of the cell vectors:
Rb1 0.2245 0.7755 0.7500  4 Se 3.59-3.94, 2 As 3.65
Rb2 0.7755 0.2245 0.2500  4 Se 3.59-3.94, 2 As 3.65
Sm1 0.5000 0.5000 0.0000  6 Se 2.94-2.97
Sm2 0.5000 0.5000 0.5000  6 Se 2.94-2.97
As1 0.0810 0.9190 0.2500  4 Se 2.57-2.73
As2 0.9190 0.0810 0.7500  4 Se 2.57-2.73
Se1 0.1280 0.8720 0.0276  1 As 2.73, 2 Sm 2.94
Se2 0.1280 0.8720 0.4724  1 As 2.73, 2 Sm 2.94
Se3 0.4942 0.5058 0.2500  2 As 2.57
Se4 0.5058 0.4942 0.7500  2 As 2.57
Se5 0.8720 0.1280 0.5276  1 As 2.73, 2 Sm 2.94
Se6 0.8720 0.1280 0.9724  1 As 2.73, 2 Sm 2.94

Results
- Total DFT energy (no corrections): -53.776 eV for the cell shown
- Symmetry: No. 63



Entry 2:
Here is crystalline Tl3CdF6 at its relaxed geometry from OQMD. Energies are from PBE-GGA.

a b c (Å): 6.2786 6.2786 6.2786
angles (deg): 60.00 60.00 60.00
With the nearest neighbours (Å) after each atom.
Sites, in units of the cell vectors:
Tl1 0.0000 0.0000 0.0000  6 F 2.28
Tl2 0.2500 0.2500 0.2500  12 F 3.14
Tl3 0.7500 0.7500 0.7500  12 F 3.14
Cd1 0.5000 0.5000 0.5000  6 F 2.16
F1 0.2566 0.2566 0.7434  1 Cd 2.16, 1 Tl 2.28
F2 0.2566 0.7434 0.2566  1 Cd 2.16, 1 Tl 2.28
F3 0.2566 0.7434 0.7434  1 Cd 2.16, 1 Tl 2.28
F4 0.7434 0.2566 0.2566  1 Cd 2.16, 1 Tl 2.28
F5 0.7434 0.2566 0.7434  1 Cd 2.16, 1 Tl 2.28
F6 0.7434 0.7434 0.2566  1 Cd 2.16, 1 Tl 2.28

Results
- Total DFT energy (no corrections): -37.306 eV for the cell shown
- Symmetry: No. 225



Entry 3:
Here is crystalline GdNi2Te at its relaxed geometry from OQMD. Energies are from PBE-GGA.

a b c (Å): 4.9404 4.1736 7.0754
angles (deg): 90.00 96.59 90.00
With the nearest neighbours (Å) after each atom.
Sites, in units of the cell vectors:
Gd1 0.1603 0.2500 0.2064  7 Ni 2.73-2.95
Gd2 0.8397 0.7500 0.7936  7 Ni 2.73-2.95
Ni1 0.1772 0.7500 0.4886  4 Te 2.64-2.89, 2 Ni 2.74, 3 Gd 2.87-2.88
Ni2 0.3638 0.7500 0.9634  2 Ni 2.50, 3 Te 2.65-2.78, 2 Gd 2.73-2.76
Ni3 0.6362 0.2500 0.0366  2 Ni 2.50, 3 Te 2.65-2.78, 2 Gd 2.73-2.76
Ni4 0.8228 0.2500 0.5114  4 Te 2.64-2.89, 2 Ni 2.74, 3 Gd 2.87-2.88
Te1 0.3354 0.2500 0.7019  7 Ni 2.64-2.89
Te2 0.6646 0.7500 0.2981  7 Ni 2.64-2.89

Results
- Symmetry: No. 11
- Energy relative to the lowest polymorph listed for this composition: 0.074 eV/atom



Entry 4:
Here is crystalline Tm2AlSiIr at its relaxed geometry from OQMD. Energies are from PBE-GGA.

a b c (Å): 5.5249 5.5249 5.5249
angles (deg): 136.65 78.33 118.37
With the nearest neighbours (Å) after each atom.
Sites, in units of the cell vectors:
Tm1 0.2037 0.0000 0.2037  3 Ir 2.95-3.00, 3 Si 2.97-2.98, 2 Al 3.26
Tm2 0.7963 0.0000 0.7963  3 Ir 2.95-3.00, 3 Si 2.97-2.98, 2 Al 3.26
Al1 0.5029 0.5029 0.0000  2 Si 2.58, 2 Ir 2.59
Si1 0.2231 0.7231 0.5000  1 Ir 2.49, 2 Al 2.58
Ir1 0.7836 0.2836 0.5000  1 Si 2.49, 2 Al 2.59

Results
- Total DFT energy (no corrections): -30.995 eV for the cell shown
- Symmetry: No. 44



Entry 5:
Here is crystalline HoZnOs at its relaxed geometry from OQMD. Energies are from PBE-GGA.

a b c (Å): 4.3864 4.3864 4.3864
angles (deg): 60.00 60.00 60.00
With the nearest neighbours (Å) after each atom.
Sites, in units of the cell vectors:
Ho1 0.0000 0.0000 0.0000  4 Zn 2.69
Zn1 0.2500 0.2500 0.2500  4 Ho 2.69, 4 Os 2.69
Os1 0.5000 0.5000 0.5000  4 Zn 2.69

Results
- Formation enthalpy at 0 K: 0.239 eV per atom
- Symmetry: No. 216



Entry 6:
Here is crystalline LaTmTlSe3 at its relaxed geometry from OQMD. Energies are from PBE-GGA.

a b c (Å): 7.4278 7.4278 12.0397
angles (deg): 90.00 90.00 144.67
With the nearest neighbours (Å) after each atom.
Sites, in units of the cell vectors:
La1 0.0000 0.0000 0.0000  6 Se 3.07-3.12
La2 0.0000 0.0000 0.5000  6 Se 3.07-3.12
Tm1 0.4488 0.5512 0.7500  4 Se 2.68-2.73
Tm2 0.5512 0.4488 0.2500  4 Se 2.68-2.73
Tl1 0.2594 0.7406 0.2500  6 Se 3.44-3.68, 2 Tm 3.71
Tl2 0.7406 0.2594 0.7500  6 Se 3.44-3.68, 2 Tm 3.71
Se1 0.0572 0.9428 0.7500  2 Tm 2.73
Se2 0.3603 0.6397 0.5533  1 Tm 2.68
Se3 0.3603 0.6397 0.9467  1 Tm 2.68
Se4 0.6397 0.3603 0.0533  1 Tm 2.68
Se5 0.6397 0.3603 0.4467  1 Tm 2.68
Se6 0.9428 0.0572 0.2500  2 Tm 2.73

Results
- Total DFT energy (no corrections): -60.337 eV for the cell shown
- Symmetry: No. 63



Entry 7:
Here is crystalline LaSmI3N at its relaxed geometry from OQMD. Energies are from PBE-GGA.

a b c (Å): 10.3708 10.3708 12.7661
angles (deg): 125.14 125.14 22.88
With the nearest neighbours (Å) after each atom.
Sites, in units of the cell vectors:
La1 0.0708 0.0708 0.4614  2 N 2.37
La2 0.9292 0.9292 0.5386  2 N 2.37
Sm1 0.3683 0.3683 0.2251  2 N 2.45
Sm2 0.6317 0.6317 0.7749  2 N 2.45
I1 0.1699 0.1699 0.0062  3 Sm 3.29-3.30
I2 0.2786 0.2786 0.3684  2 La 3.24, 1 Sm 3.25
I3 0.4685 0.4685 0.7635  2 La 3.23, 1 Sm 3.24
I4 0.5315 0.5315 0.2365  2 La 3.23, 1 Sm 3.24
I5 0.7214 0.7214 0.6316  2 La 3.24, 1 Sm 3.25
I6 0.8301 0.8301 0.9938  3 Sm 3.29-3.30
N1 0.0721 0.0721 0.6485  2 La 2.37, 2 Sm 2.45
N2 0.9279 0.9279 0.3515  2 La 2.37, 2 Sm 2.45

Results
- Symmetry: No. 12
- Energy relative to the lowest polymorph listed for this composition: 0.044 eV/atom



Entry 8:
Here is crystalline ErP2Pd8 at its relaxed geometry from OQMD. Energies are from PBE-GGA.

a b c (Å): 6.2799 6.2799 9.2918
angles (deg): 125.00 125.00 37.72
With the nearest neighbours (Å) after each atom.
Sites, in units of the cell vectors:
Er1 0.0000 0.0000 0.0000  12 Pd 3.09-3.32, 4 P 3.17
P1 0.4401 0.4401 0.2078  5 Pd 2.25-2.36
P2 0.5599 0.5599 0.7922  5 Pd 2.25-2.36
Pd1 0.0258 0.0258 0.3690  2 P 2.36
Pd2 0.2692 0.2692 0.9072  1 P 2.25
Pd3 0.3214 0.3214 0.6521  1 P 2.29
Pd4 0.3391 0.3391 0.3549  1 P 2.30
Pd5 0.6609 0.6609 0.6451  1 P 2.30
Pd6 0.6786 0.6786 0.3479  1 P 2.29
Pd7 0.7308 0.7308 0.0928  1 P 2.25
Pd8 0.9742 0.9742 0.6310  2 P 2.36

Results
- Total DFT energy (no corrections): -63.688 eV for the cell shown
- Symmetry: No. 12



Entry 9:
Here is crystalline KAg2AsS3 at its relaxed geometry from OQMD. Energies are from PBE-GGA.

a b c (Å): 6.7580 9.3407 10.8886
angles (deg): 88.52 87.17 89.65
With the nearest neighbours (Å) after each atom.
Sites, in units of the cell vectors:
K1 0.2098 0.4285 0.3787  5 S 3.16-3.36
K2 0.2890 0.5693 0.8652  7 S 3.17-3.46
K3 0.7110 0.4307 0.1348  7 S 3.17-3.46
K4 0.7902 0.5715 0.6213  5 S 3.16-3.36
Ag1 0.0108 0.0909 0.1548  3 S 2.52-2.59, 1 As 2.82
Ag2 0.0882 0.8462 0.4540  4 S 2.59-2.77
Ag3 0.4203 0.1487 0.9504  4 S 2.56-2.70
Ag4 0.4842 0.2573 0.6491  3 S 2.57-2.58
Ag5 0.5158 0.7427 0.3509  3 S 2.57-2.58
Ag6 0.5797 0.8513 0.0496  4 S 2.56-2.70
Ag7 0.9118 0.1538 0.5460  4 S 2.59-2.77
Ag8 0.9892 0.9091 0.8452  3 S 2.52-2.59, 1 As 2.82
As1 0.0456 0.7898 0.1609  3 S 2.28-2.31
As2 0.4787 0.9387 0.6457  3 S 2.29-2.32
As3 0.5213 0.0613 0.3543  3 S 2.29-2.32
As4 0.9544 0.2102 0.8391  3 S 2.28-2.31
S1 0.1067 0.2947 0.0045  1 As 2.28, 1 Ag 2.54
S2 0.1158 0.3251 0.6734  1 As 2.31, 1 Ag 2.57
S3 0.1827 0.0927 0.3554  1 As 2.30, 1 Ag 2.52
S4 0.3408 0.6654 0.1598  1 As 2.30, 1 Ag 2.57
S5 0.3674 0.7230 0.5740  1 As 2.32, 2 Ag 2.58-2.59
S6 0.3724 0.9075 0.8475  1 As 2.29
S7 0.6276 0.0925 0.1525  1 As 2.29
S8 0.6326 0.2770 0.4260  1 As 2.32, 2 Ag 2.58-2.59
S9 0.6592 0.3346 0.8402  1 As 2.30, 1 Ag 2.57
S10 0.8173 0.9073 0.6446  1 As 2.30, 1 Ag 2.52
S11 0.8842 0.6749 0.3266  1 As 2.31, 1 Ag 2.57
S12 0.8933 0.7053 0.9955  1 As 2.28, 1 Ag 2.54

Results
- Total DFT energy (no corrections): -106.877 eV for the cell shown
- Symmetry: No. 2



Entry 10:
Here is crystalline TbTmCu at its relaxed geometry from OQMD. Energies are from PBE-GGA.

a b c (Å): 4.7323 4.7323 4.7323
angles (deg): 60.00 60.00 60.00
With the nearest neighbours (Å) after each atom.
Sites, in units of the cell vectors:
Tb1 0.0000 0.0000 0.0000  4 Tm 2.90
Tm1 0.7500 0.7500 0.7500  4 Tb 2.90, 4 Cu 2.90
Cu1 0.5000 0.5000 0.5000  4 Tm 2.90

Results
- Formation enthalpy at 0 K: 0.676 eV per atom
- Symmetry: No. 216



Entry 11:
Here is crystalline Tb2Be at its relaxed geometry from OQMD. Energies are from PBE-GGA.

a b c (Å): 6.0994 6.0994 6.0994
angles (deg): 60.00 60.00 60.00
With the nearest neighbours (Å) after each atom.
Sites, in units of the cell vectors:
Tb1 0.0000 0.0000 0.0000  6 Tb 3.05
Tb2 0.0000 0.0000 0.5000  6 Tb 3.05
Tb3 0.0000 0.5000 0.0000  6 Tb 3.05
Tb4 0.5000 0.0000 0.0000  6 Tb 3.05
Be1 0.3750 0.3750 0.3750  12 Tb 3.58, 4 Be 3.74
Be2 0.6250 0.6250 0.6250  12 Tb 3.58, 4 Be 3.74

Results
- Symmetry: No. 227
- Energy relative to the lowest polymorph listed for this composition: 0.000 eV/atom



Entry 12:
Here is crystalline Gd2CuPt at its relaxed geometry from OQMD. Energies are from PBE-GGA.

a b c (Å): 4.4471 5.5949 5.5949
angles (deg): 40.11 90.00 90.00
With the nearest neighbours (Å) after each atom.
Sites, in units of the cell vectors:
Gd1 0.0000 0.0000 0.0000  3 Cu 2.97-2.98, 4 Pt 3.01
Gd2 0.5000 0.2785 0.2785  3 Pt 2.97-2.98, 4 Cu 3.01
Cu1 0.0000 0.7162 0.7162  2 Pt 2.76, 7 Gd 2.97-3.01
Pt1 0.5000 0.5611 0.5611  2 Cu 2.76, 7 Gd 2.97-3.01

Results
- Formation enthalpy at 0 K: -0.774 eV per atom
- Symmetry: No. 38



Entry 13:
Here is crystalline Zr5Sn3 at its relaxed geometry from OQMD. Energies are from PBE-GGA.

a b c (Å): 8.5253 8.5253 5.8001
angles (deg): 90.00 90.00 120.00
With the nearest neighbours (Å) after each atom.
Sites, in units of the cell vectors:
Zr1 0.0000 0.2467 0.2500  5 Sn 2.93-3.15
Zr2 0.0000 0.7533 0.7500  5 Sn 2.93-3.15
Zr3 0.2467 0.0000 0.2500  5 Sn 2.93-3.15
Zr4 0.2467 0.2467 0.7500  5 Sn 2.93-3.15
Zr5 0.3333 0.6667 0.0000  2 Zr 2.90, 6 Sn 3.00
Zr6 0.3333 0.6667 0.5000  2 Zr 2.90, 6 Sn 3.00
Zr7 0.6667 0.3333 0.0000  2 Zr 2.90, 6 Sn 3.00
Zr8 0.6667 0.3333 0.5000  2 Zr 2.90, 6 Sn 3.00
Zr9 0.7533 0.0000 0.7500  5 Sn 2.93-3.15
Zr10 0.7533 0.7533 0.2500  5 Sn 2.93-3.15
Sn1 0.0000 0.3923 0.7500  9 Zr 2.93-3.15
Sn2 0.0000 0.6077 0.2500  9 Zr 2.93-3.15
Sn3 0.3923 0.0000 0.7500  9 Zr 2.93-3.15
Sn4 0.3923 0.3923 0.2500  9 Zr 2.93-3.15
Sn5 0.6077 0.0000 0.2500  9 Zr 2.93-3.15
Sn6 0.6077 0.6077 0.7500  9 Zr 2.93-3.15

Results
- Total DFT energy (no corrections): -118.546 eV for the cell shown
- Symmetry: No. 193



Entry 14:
Here is crystalline YCuTcBi at its relaxed geometry from OQMD. Energies are from PBE-GGA.

a b c (Å): 4.8884 4.8884 4.8884
angles (deg): 60.00 60.00 60.00
With the nearest neighbours (Å) after each atom.
Sites, in units of the cell vectors:
Y1 0.0000 0.0000 0.0000  4 Bi 2.99, 4 Tc 2.99
Cu1 0.5000 0.5000 0.5000  4 Tc 2.99, 4 Bi 2.99
Tc1 0.7500 0.7500 0.7500  4 Cu 2.99, 4 Y 2.99
Bi1 0.2500 0.2500 0.2500  4 Cu 2.99, 4 Y 2.99

Results
- Symmetry: No. 216
- Energy relative to the lowest polymorph listed for this composition: 0.286 eV/atom



Entry 15:
Here is crystalline LaGdCo2Si2 at its relaxed geometry from OQMD. Energies are from PBE-GGA.

a b c (Å): 4.0131 4.0131 6.9807
angles (deg): 90.00 90.00 90.00
With the nearest neighbours (Å) after each atom.
Sites, in units of the cell vectors:
La1 0.0000 0.0000 0.0000  4 Co 3.05, 4 Si 3.05
Gd1 0.5000 0.5000 0.3703  4 Co 2.91, 4 Si 2.98
Co1 0.0000 0.5000 0.6717  4 Si 2.32-2.34
Co2 0.5000 0.0000 0.6717  4 Si 2.32-2.34
Si1 0.0000 0.0000 0.4987  4 Co 2.34
Si2 0.5000 0.5000 0.8393  4 Co 2.32

Results
- Total DFT energy (no corrections): -38.879 eV for the cell shown
- Symmetry: No. 99



Entry 16:
Here is crystalline DyErSi2 at its relaxed geometry from OQMD. Energies are from PBE-GGA.

a b c (Å): 3.8211 7.8617 5.6675
angles (deg): 90.00 90.00 90.00
With the nearest neighbours (Å) after each atom.
Sites, in units of the cell vectors:
Dy1 0.0000 0.0712 0.0000  7 Si 2.94-3.16
Dy2 0.5000 0.9288 0.5000  7 Si 2.94-3.16
Er1 0.0000 0.5705 0.2706  7 Si 2.92-3.13
Er2 0.5000 0.4295 0.7706  7 Si 2.92-3.13
Si1 0.0000 0.2133 0.5161  2 Si 2.49
Si2 0.0000 0.7100 0.7559  2 Si 2.49
Si3 0.5000 0.2900 0.2559  2 Si 2.49
Si4 0.5000 0.7867 0.0161  2 Si 2.49

Results
- Symmetry: No. 31
- Energy relative to the lowest polymorph listed for this composition: 0.000 eV/atom



Entry 17:
Here is crystalline NdScGe2Au2 at its relaxed geometry from OQMD. Energies are from PBE-GGA.

a b c (Å): 4.4515 4.4515 7.3165
angles (deg): 90.00 90.00 120.00
With the nearest neighbours (Å) after each atom.
Sites, in units of the cell vectors:
Nd1 0.0000 0.0000 0.0000  6 Ge 3.04-3.41, 3 Au 3.16
Sc1 0.0000 0.0000 0.4964  6 Au 2.89-3.17, 3 Ge 2.95
Ge1 0.3333 0.6667 0.6946  4 Au 2.60-2.78
Ge2 0.6667 0.3333 0.2226  3 Au 2.66
Au1 0.3333 0.6667 0.3151  4 Ge 2.66-2.78, 3 Sc 2.89
Au2 0.6667 0.3333 0.7496  3 Ge 2.60

Results
- Total DFT energy (no corrections): -31.587 eV for the cell shown
- Symmetry: No. 156



Entry 18:
Here is crystalline MgZrGaNi at its relaxed geometry from OQMD. Energies are from PBE-GGA.

a b c (Å): 4.5050 4.5050 4.5050
angles (deg): 60.00 60.00 60.00
With the nearest neighbours (Å) after each atom.
Sites, in units of the cell vectors:
Mg1 0.0000 0.0000 0.0000  4 Zr 2.76, 4 Ga 2.76
Zr1 0.7500 0.7500 0.7500  4 Mg 2.76, 4 Ni 2.76
Ga1 0.2500 0.2500 0.2500  4 Ni 2.76, 4 Mg 2.76
Ni1 0.5000 0.5000 0.5000  4 Zr 2.76, 4 Ga 2.76

Results
- Total DFT energy (no corrections): -19.584 eV for the cell shown
- Symmetry: No. 216



Entry 19:
Here is crystalline ThFeRe at its relaxed geometry from OQMD. Energies are from PBE-GGA.

a b c (Å): 4.4094 4.4094 4.4094
angles (deg): 60.00 60.00 60.00
With the nearest neighbours (Å) after each atom.
Sites, in units of the cell vectors:
Th1 0.0000 0.0000 0.0000  4 Fe 2.70, 4 Re 2.70
Fe1 0.7500 0.7500 0.7500  4 Th 2.70
Re1 0.2500 0.2500 0.2500  4 Th 2.70

Results
- Formation enthalpy at 0 K: 1.298 eV per atom
- Symmetry: No. 216
- Energy relative to the lowest polymorph listed for this composition: 0.748 eV/atom



Entry 20:
Here is crystalline ErZr3C2S2 at its relaxed geometry from OQMD. Energies are from PBE-GGA.

a b c (Å): 3.4742 3.4742 12.4086
angles (deg): 90.00 90.00 120.00
With the nearest neighbours (Å) after each atom.
Sites, in units of the cell vectors:
Er1 0.0000 0.0000 0.0000  3 C 2.44
Zr1 0.0000 0.0000 0.6998  3 C 2.35
Zr2 0.3333 0.6667 0.2086  3 C 2.33
Zr3 0.3333 0.6667 0.5026  3 C 2.35
C1 0.6667 0.3333 0.1125  3 Zr 2.33, 3 Er 2.44
C2 0.6667 0.3333 0.6011  6 Zr 2.35
S1 0.0000 0.0000 0.3558  6 Zr 2.71
S2 0.3333 0.6667 0.8438  3 Zr 2.69, 3 Er 2.79

Results
- Total DFT energy (no corrections): -67.402 eV for the cell shown
- Symmetry: No. 156